# Ta2VH4

Crystalline Ta2VH4 at its relaxed geometry (PBE, Alexandria via LeMat-Bulk).

Results
Space group   I4_1/amd, No. 141
Calculated total energy   -46.259 eV per formula unit
Theoretical density   10.6 Mg/m³
Magnetic moment   2.0 Bohr magnetons per cell

abc: 5.6918 5.6918 5.6873
angles: 119.99 119.99 90.09
Each line ends with the local moment (μB).
Element x y z (fractional)
Ta (0.6250, 0.3750, 0.7500)  -0.04
H (0.3791, 0.1388, 0.7589)  0.00
Ta (0.6250, 0.3750, 0.2500)  -0.04
H (0.3888, 0.1291, 0.2588)  0.00
H (0.8703, 0.1300, 0.7412)  0.00
Ta (0.1250, 0.3750, 0.7500)  -0.05
V (0.2502, 0.7499, 0.5000)  1.02
Ta (0.6250, 0.8750, 0.2500)  -0.05
V (0.9998, 0.0001, 0.0000)  1.02
H (0.3799, 0.6202, 0.2411)  0.00
H (0.8701, 0.1298, 0.2589)  0.00
H (0.8709, 0.6112, 0.7411)  0.00
H (0.3797, 0.6200, 0.7588)  0.00
H (0.8612, 0.6209, 0.2412)  0.00